Density functional theory data (GGA+U) for a geometry-optimized K2MoCl4O2 structure.

a = 6.9182 Å, b = 6.9182 Å, c = 6.8988 Å
α = 119.11°, β = 119.11°, γ = 60.27°
Closest atoms and distances in Å follow each position.
Atoms (fractional coordinates):
1 K 0.2486 0.2486 0.2050  1 O 2.70
2 K 0.7514 0.7514 0.7950  1 O 2.70
3 Mo 0.5000 0.5000 0.0000  2 O 1.81
4 Cl 0.2085 0.7013 0.7152  1 Mo 2.43
5 Cl 0.2987 0.7915 0.2848  1 Mo 2.43
6 Cl 0.7013 0.2085 0.7152  1 Mo 2.43
7 Cl 0.7915 0.2987 0.2848  1 Mo 2.43
8 O 0.3245 0.3245 0.9037  1 Mo 1.81
9 O 0.6755 0.6755 0.0963  1 Mo 1.81

Properties
magnetic moment	0.1	μB/cell
raw total energy	-4.32	eV per atom